1.
Compound: Ti3SiO
Source: the Alexandria database
Functional: PBE
Structure: optimized geometry

Calculated values
The total DFT energy (no corrections) is -8.091 eV per atom. As for the formation energy from raw total energies: -1.2776 eV per atom. For the excess energy over the best structure of this formula in the dataset, the calculation gives 207 meV per atom. The mass density comes out at 4.694 g/cm³.

Cell lengths 4.2098, 3.9640, 7.9582 Å; angles 90.00, 90.00, 90.00 degrees
With the nearest neighbours (Å) after each atom.
Space group Pmma (No. 51)
Unique sites:
Ti 0.2500 0.0000 0.1066  1 O 2.23
Ti 0.2500 0.0000 0.6572  3 O 2.13-2.16
Ti 0.2500 0.5000 0.3576  2 O 2.00
Si 0.2500 0.5000 0.8714  10 Ti 2.61-2.90
O 0.2500 0.0000 0.3863  6 Ti 2.00-2.23

2.
Compound: TiSiO4
Source: the Alexandria database
Functional: PBE
Structure: optimized geometry

Calculated values
The total DFT energy (no corrections) is -8.230 eV per atom. As for the formation energy from raw total energies: -2.7050 eV per atom. The mass density comes out at 4.253 g/cm³.

Cell lengths 4.6009, 4.6009, 10.3260 Å; angles 90.00, 90.00, 90.00 degrees
With the nearest neighbours (Å) after each atom.
Space group I4_1/a (No. 88, origin choice 2)
Unique sites:
Ti 0.0000 0.2500 0.1250  4 O 1.99
Si 0.0000 0.2500 0.6250  4 O 1.67
O 0.1781 0.4841 0.2987  1 Si 1.67

3.
Compound: Ti3SiO
Source: the Alexandria database
Functional: PBE
Structure: optimized geometry

Calculated values
The total DFT energy (no corrections) is -8.035 eV per atom. As for the formation energy from raw total energies: -1.2221 eV per atom. For the excess energy over the best structure of this formula in the dataset, the calculation gives 263 meV per atom. The mass density comes out at 4.597 g/cm³.

Cell lengths 4.0775, 4.0775, 4.0775 Å; angles 90.00, 90.00, 90.00 degrees
With the nearest neighbours (Å) after each atom.
Space group Pm-3m (No. 221)
Unique sites:
Ti 0.0000 0.0000 0.5000  2 O 2.04
Si 0.5000 0.5000 0.5000  12 Ti 2.88
O 0.0000 0.0000 0.0000  6 Ti 2.04

4.
Compound: TiSiO4
Source: the Alexandria database
Functional: PBE
Structure: optimized geometry

Calculated values
The total DFT energy (no corrections) is -8.288 eV per atom. As for the formation energy from raw total energies: -2.7631 eV per atom. The mass density comes out at 3.423 g/cm³.

Cell lengths 5.3604, 8.0612, 6.2841 Å; angles 90.00, 90.00, 90.00 degrees
With the nearest neighbours (Å) after each atom.
Space group Cmcm (No. 63)
Unique sites:
Ti 0.0000 0.0000 0.0000  6 O 1.87-2.07
Si 0.0000 0.3482 0.2500  4 O 1.62-1.67
O 0.0000 0.2291 0.0421  1 Si 1.62
O 0.2478 0.0296 0.7500  1 Si 1.67

5.
Compound: TiTl2SiO
Source: the Alexandria database
Functional: PBE
Structure: optimized geometry

Calculated values
The total DFT energy (no corrections) is -4.848 eV per atom. As for the formation energy from raw total energies: -0.2466 eV per atom. The mass density comes out at 6.950 g/cm³.

Cell lengths 5.7146, 5.7146, 3.6632 Å; angles 90.00, 90.00, 90.00 degrees
With the nearest neighbours (Å) after each atom.
Space group P4/mmm (No. 123)
Unique sites:
Ti 0.0000 0.0000 0.0000  2 O 1.83
Tl 0.0000 0.5000 0.0000  2 Ti 2.86
Si 0.5000 0.5000 0.5000  8 Tl 3.39, 2 Si 3.66
O 0.0000 0.0000 0.5000  2 Ti 1.83

6.
Compound: TmTiSi2O8
Source: the Alexandria database
Functional: PBE
Structure: optimized geometry

Calculated values
The total DFT energy (no corrections) is -7.983 eV per atom. As for the formation energy from raw total energies: -2.7436 eV per atom. The mass density comes out at 4.993 g/cm³.

Cell lengths 6.6623, 6.6623, 6.0089 Å; angles 90.00, 90.00, 90.00 degrees
With the nearest neighbours (Å) after each atom.
Space group I-4m2 (No. 119)
Unique sites:
Tm 0.0000 0.0000 0.0000  8 O 2.18-2.37
Ti 0.0000 0.5000 0.2500  8 O 2.09-2.23
Si 0.0000 0.0000 0.5000  4 O 1.65
Si 0.0000 0.5000 0.7500  4 O 1.63
O 0.0000 0.1950 0.3304  1 Si 1.65
O 0.0000 0.3227 0.9362  1 Si 1.63